The following is a DFT calculation (PBE-GGA) of a geometry-optimized AsPRhC structure.

Summary:
Size of the total moment (μB per cell): 0.00
E above lowest polymorph (eV per atom): 0.165
ΔH_f (0 K) (eV per atom): 0.237
Calculated total energy (eV for the cell shown): -25.69
DOS at the Fermi energy (states/eV/f.u.): 1.27
Space group: Cm (8)

Cell: 2.9527 2.9527 7.5291 Å, 100.57 100.57 60.00°
With the nearest neighbours (Å) after each atom.
Atoms (fractional coordinates):
As: 0.0000 0.0000 0.0000  3 Rh 2.49
P: 0.8008 0.8008 0.3649  3 C 1.85-1.86
Rh: 0.5891 0.5891 0.7528  1 C 2.12
C: 0.4987 0.4987 0.4644  3 P 1.85-1.86

The following is a DFT calculation (PBE-GGA) of a geometry-optimized AsPRhC structure.

Summary:
Size of the total moment (μB per cell): 0.00
E above lowest polymorph (eV per atom): 0.140
ΔH_f (0 K) (eV per atom): 0.212
Calculated total energy (eV for the cell shown): -25.79
DOS at the Fermi energy (states/eV/f.u.): 1.89
Space group: P1 (1)

Cell: 3.0898 3.5569 5.9304 Å, 83.56 86.21 68.79°
With the nearest neighbours (Å) after each atom.
Atoms (fractional coordinates):
As: 0.0000 0.0000 0.0000  2 C 1.91-1.92
P: 0.4713 0.9260 0.4860  1 C 1.73
Rh: 0.1229 0.5192 0.6845  3 P 2.28-2.40
C: 0.4932 0.9602 0.1925  1 P 1.73, 2 As 1.91-1.92

The following is a DFT calculation (PBE-GGA) of a geometry-optimized AsPRhC structure.

Summary:
Size of the total moment (μB per cell): 0.00
E above lowest polymorph (eV per atom): 0.000
ΔH_f (0 K) (eV per atom): 0.072
Calculated total energy (eV for the cell shown): -26.35
DOS at the Fermi energy (states/eV/f.u.): 0.98
Space group: Pmm2 (25)

Cell: 2.9609 3.1518 6.0263 Å, 90.00 90.00 90.00°
With the nearest neighbours (Å) after each atom.
Atoms (fractional coordinates):
As: 0.0000 0.0000 0.0000  2 C 2.04
P: 0.5000 0.5000 0.5973  2 C 1.86
Rh: 0.5000 0.0000 0.3302  2 P 2.25, 2 As 2.48
C: 0.0000 0.5000 0.7852  2 P 1.86, 2 As 2.04